Material: TcNiI2O
Method: DFT, PBE with a Hubbard U
State: optimized geometry

Unit cell a=5.716 b=5.716 c=3.571 alpha=90.00 beta=90.00 gamma=90.00
Element x y z (fractional)
Tc  0.500  0.500  0.500
I  0.000  0.500  0.000
I  0.500  0.000  0.000
Ni  0.000  0.000  0.000
O  0.000  0.000  0.500

Offset from the most stable computed form = 1.20 eV per formula unit
D(E_F) = 3.23 states/eV/f.u.
Symmetry = P4/mmm
Raw total energy = -0.261 Ry per atom